This record from Alexandria describes YMoOs after structural relaxation. The functional is PBE-GGA.

Calculated values
- Space-group type: P3m1, No. 156
- N(E_F): 1.465 states/eV per cell
- Calculated volume: 19.44 Å³ per atom
- ΔH_f (0 K): 274 meV/atom
- Polymorph energy (0 for the lowest one): 448 meV/atom

Cell: 4.4561 4.4561 3.3921 Å, 90.00 90.00 120.00°
Closest atoms and distances in Å follow each position.
Fractional coordinates of all 3 atoms:
Os1 0.3333 0.6667 0.2301  3 Mo 2.61
Y1 0.6667 0.3333 0.6678  6 Mo 2.96-3.21, 6 Os 2.97-3.20
Mo1 0.0000 0.0000 0.1021  3 Os 2.61